Compound: Ac4Al2C
Source: Alexandria via LeMat-Bulk
Functional: PBE
Structure: relaxed

The structure in CIF format:
```
data_Ac4Al2C
_space_group_name_H-M_alt 'P 1'
_space_group_IT_number 1
_cell_length_a 8.7704
_cell_length_b 8.7704
_cell_length_c 8.7704
_cell_angle_alpha 143.43
_cell_angle_beta 143.43
_cell_angle_gamma 52.68
loop_
_space_group_symop_operation_xyz
'x,y,z'
loop_
_atom_site_label
_atom_site_type_symbol
_atom_site_fract_x
_atom_site_fract_y
_atom_site_fract_z
_atom_site_occupancy
Ac1 Ac 0.0000 0.5000 0.5000 1
Ac2 Ac 0.1719 0.1719 0.0000 1
Ac3 Ac 0.5000 0.0000 0.5000 1
Ac4 Ac 0.8281 0.8281 0.0000 1
Al1 Al 0.3782 0.3782 0.0000 1
Al2 Al 0.6218 0.6218 0.0000 1
C1 C 0.0000 0.0000 0.0000 1
```

Output
**E_form**: 0 meV per atom
**Volume**: 34.0 Å³ per atom

Compound: Ac3AlC
Source: Alexandria via LeMat-Bulk
Functional: PBE
Structure: relaxed

The structure in CIF format:
```
data_Ac3AlC
_space_group_name_H-M_alt 'P 1'
_space_group_IT_number 1
_cell_length_a 5.4293
_cell_length_b 5.4293
_cell_length_c 5.4293
_cell_angle_alpha 90.00
_cell_angle_beta 90.00
_cell_angle_gamma 90.00
loop_
_space_group_symop_operation_xyz
'x,y,z'
loop_
_atom_site_label
_atom_site_type_symbol
_atom_site_fract_x
_atom_site_fract_y
_atom_site_fract_z
_atom_site_occupancy
Ac1 Ac 0.0000 0.0000 0.5000 1
Ac2 Ac 0.0000 0.5000 0.0000 1
Ac3 Ac 0.5000 0.0000 0.0000 1
Al1 Al 0.5000 0.5000 0.5000 1
C1 C 0.0000 0.0000 0.0000 1
```

Output
**E_form**: 5 meV per atom
**Volume**: 32.0 Å³ per atom

Compound: Ac2AlC
Source: Alexandria via LeMat-Bulk
Functional: PBE
Structure: relaxed

The structure in CIF format:
```
data_Ac2AlC
_space_group_name_H-M_alt 'P 1'
_space_group_IT_number 1
_cell_length_a 8.7446
_cell_length_b 8.7446
_cell_length_c 8.7446
_cell_angle_alpha 26.12
_cell_angle_beta 26.12
_cell_angle_gamma 26.12
loop_
_space_group_symop_operation_xyz
'x,y,z'
loop_
_atom_site_label
_atom_site_type_symbol
_atom_site_fract_x
_atom_site_fract_y
_atom_site_fract_z
_atom_site_occupancy
Ac1 Ac 0.2285 0.2285 0.2285 1
Ac2 Ac 0.7715 0.7715 0.7715 1
Al1 Al 0.0000 0.0000 0.0000 1
C1 C 0.5000 0.5000 0.5000 1
```

Output
**E_form**: 172 meV per atom
**Volume**: 28.5 Å³ per atom

Compound: AcAl2Fe2C
Source: Alexandria via LeMat-Bulk
Functional: PBE
Structure: relaxed

The structure in CIF format:
```
data_AcAl2Fe2C
_space_group_name_H-M_alt 'P 1'
_space_group_IT_number 1
_cell_length_a 3.9248
_cell_length_b 3.9248
_cell_length_c 6.0842
_cell_angle_alpha 90.00
_cell_angle_beta 90.00
_cell_angle_gamma 90.00
loop_
_space_group_symop_operation_xyz
'x,y,z'
loop_
_atom_site_label
_atom_site_type_symbol
_atom_site_fract_x
_atom_site_fract_y
_atom_site_fract_z
_atom_site_occupancy
Ac1 Ac 0.0000 0.0000 0.0000 1
Al1 Al 0.5000 0.5000 0.2591 1
Al2 Al 0.5000 0.5000 0.7409 1
Fe1 Fe 0.0000 0.5000 0.5000 1
Fe2 Fe 0.5000 0.0000 0.5000 1
C1 C 0.0000 0.0000 0.5000 1
```

Output
**E_form**: -154 meV per atom
**Volume**: 15.6 Å³ per atom

Please write out number 3 again, unchanged.
Compound: Ac2AlC
Source: Alexandria via LeMat-Bulk
Functional: PBE
Structure: relaxed

The structure in CIF format:
```
data_Ac2AlC
_space_group_name_H-M_alt 'P 1'
_space_group_IT_number 1
_cell_length_a 8.7446
_cell_length_b 8.7446
_cell_length_c 8.7446
_cell_angle_alpha 26.12
_cell_angle_beta 26.12
_cell_angle_gamma 26.12
loop_
_space_group_symop_operation_xyz
'x,y,z'
loop_
_atom_site_label
_atom_site_type_symbol
_atom_site_fract_x
_atom_site_fract_y
_atom_site_fract_z
_atom_site_occupancy
Ac1 Ac 0.2285 0.2285 0.2285 1
Ac2 Ac 0.7715 0.7715 0.7715 1
Al1 Al 0.0000 0.0000 0.0000 1
C1 C 0.5000 0.5000 0.5000 1
```

Output
**E_form**: 172 meV per atom
**Volume**: 28.5 Å³ per atom

- Among the records above, which one has the highest E_form?
  Ac2AlC

What did the third record say?
Compound: Ac2AlC
Source: Alexandria via LeMat-Bulk
Functional: PBE
Structure: relaxed

The structure in CIF format:
```
data_Ac2AlC
_space_group_name_H-M_alt 'P 1'
_space_group_IT_number 1
_cell_length_a 8.7446
_cell_length_b 8.7446
_cell_length_c 8.7446
_cell_angle_alpha 26.12
_cell_angle_beta 26.12
_cell_angle_gamma 26.12
loop_
_space_group_symop_operation_xyz
'x,y,z'
loop_
_atom_site_label
_atom_site_type_symbol
_atom_site_fract_x
_atom_site_fract_y
_atom_site_fract_z
_atom_site_occupancy
Ac1 Ac 0.2285 0.2285 0.2285 1
Ac2 Ac 0.7715 0.7715 0.7715 1
Al1 Al 0.0000 0.0000 0.0000 1
C1 C 0.5000 0.5000 0.5000 1
```

Output
**E_form**: 172 meV per atom
**Volume**: 28.5 Å³ per atom